HfInS2 | GGA-PBE | optimized geometry

E_form (uncorrected): -0.944 eV per atom

a b c (Å): 8.534 3.473 13.985
angles (deg): 90.00 90.00 90.00
Space group Pnma (No. 62)
Inequivalent atoms, fractional coordinates:
Hf  0.027  0.250  0.101
In  0.031  0.250  0.615
S  0.148  0.750  0.207
S  0.176  0.250  0.950

HfInS2 | GGA-PBE | optimized geometry

E_form (uncorrected): -0.648 eV per atom

a b c (Å): 5.480 5.480 11.263
angles (deg): 90.00 90.00 90.00
Space group I4_1/amd (No. 141, origin choice 2)
Inequivalent atoms, fractional coordinates:
Hf  0.000  0.250  0.375
In  0.000  0.250  0.875
S  0.000  0.250  0.144

HfIn2S2 | GGA-PBE | optimized geometry

E_form (uncorrected): 0.256 eV per atom
E above lowest polymorph: 108 meV per atom

a b c (Å): 5.301 5.301 8.406
angles (deg): 90.00 90.00 90.00
Space group I4/mmm (No. 139)
Inequivalent atoms, fractional coordinates:
Hf  0.000  0.000  0.000
In  0.000  0.000  0.342
S  0.000  0.500  0.250

HfInS2 | GGA-PBE | optimized geometry

E_form (uncorrected): -0.812 eV per atom

a b c (Å): 8.069 8.069 6.514
angles (deg): 90.00 90.00 90.00
Space group I4/mcm (No. 140)
Inequivalent atoms, fractional coordinates:
Hf  0.000  0.500  0.250
In  0.000  0.000  0.250
S  0.160  0.340  0.000

Hf4InS | GGA-PBE | optimized geometry

E_form (uncorrected): -0.295 eV per atom

a b c (Å): 12.655 3.220 7.146
angles (deg): 90.00 115.95 90.00
Space group C2/m (No. 12)
Inequivalent atoms, fractional coordinates:
Hf  0.150  0.000  0.361
Hf  0.157  0.500  0.794
In  0.000  0.500  0.000
S  0.000  0.000  0.500

HfInS2 | GGA-PBE | optimized geometry

E_form (uncorrected): -0.822 eV per atom

a b c (Å): 6.458 7.863 8.338
angles (deg): 90.00 90.00 90.00
Space group Pna2_1 (No. 33)
Inequivalent atoms, fractional coordinates:
Hf  0.153  0.075  0.000
In  0.058  0.271  0.398
S  0.017  0.360  0.067
S  0.038  0.938  0.240

HfInS2 | GGA-PBE | optimized geometry

E_form (uncorrected): -1.136 eV per atom

a b c (Å): 3.5636 3.5636 8.8815
angles (deg): 90.00 90.00 120.00
Space group P3m1 (No. 156)
Inequivalent atoms, fractional coordinates:
Hf  0.0000  0.0000  0.0000
In  0.3333  0.6667  0.4993
S  0.3333  0.6667  0.8299
S  0.6667  0.3333  0.1695

Hf6In2S | GGA-PBE | optimized geometry

E_form (uncorrected): -0.415 eV per atom

a b c (Å): 9.216 9.216 9.216
angles (deg): 90.00 90.00 90.00
Space group Fm-3m (No. 225)
Inequivalent atoms, fractional coordinates:
Hf  0.000  0.000  0.231
In  0.250  0.250  0.250
S  0.000  0.000  0.500

HfInS2 | GGA-PBE | optimized geometry

E_form (uncorrected): -0.818 eV per atom

a b c (Å): 9.543 8.080 6.563
angles (deg): 90.00 122.93 90.00
Space group Cc (No. 9)
Inequivalent atoms, fractional coordinates:
Hf  0.000  0.020  0.000
In  0.000  0.485  0.001
S  0.158  0.159  0.397
S  0.342  0.341  0.103

Hf2InS6 | GGA-PBE | optimized geometry

E_form (uncorrected): -1.006 eV per atom

a b c (Å): 6.088 6.088 11.365
angles (deg): 90.00 90.00 90.00
Space group P4_2/mnm (No. 136)
Inequivalent atoms, fractional coordinates:
Hf  0.000  0.000  0.163
In  0.000  0.000  0.500
S  0.194  0.194  0.000
S  0.202  0.202  0.326

HfInS2 | GGA-PBE | optimized geometry

E_form (uncorrected): -1.004 eV per atom

a b c (Å): 3.383 28.028 3.781
angles (deg): 90.00 90.00 90.00
Space group Cmcm (No. 63)
Inequivalent atoms, fractional coordinates:
Hf  0.000  0.187  0.250
In  0.000  0.452  0.250
S  0.000  0.285  0.250
S  0.000  0.379  0.750

HfInS2 | GGA-PBE | optimized geometry

E_form (uncorrected): -0.748 eV per atom

a b c (Å): 3.8434 3.8434 27.6252
angles (deg): 90.00 90.00 120.00
Space group R3m (No. 160, hexagonal axes)
Inequivalent atoms, fractional coordinates:
Hf  0.0000  0.0000  0.0000
In  0.0000  0.0000  0.4810
S  0.0000  0.0000  0.0865
S  0.0000  0.0000  0.6265

no.,raw total energy (eV per atom)
1,-6.1808
2,-5.8846
3,-4.4815
4,-6.0489
5,-8.0749
6,-6.0583
7,-6.3722
8,-8.1178
9,-6.0548
10,-6.2741
11,-6.2404
12,-5.9847